Compound: BaMgAu2
Source: Alexandria
Functional: meta-GGA SCAN
Structure: single point on PBEsol structure

```
BaMgAu2
1.0
3.975 -2.296 0.000
3.975 2.296 0.000
-2.669 0.000 5.899
Ba Mg Au
1 1 2
Direct
0.000 0.000 0.000
0.810 0.810 0.429
0.197 0.197 0.588
0.460 0.460 0.378
```

## Properties
Space group: No. 8


Compound: BaMg3Au
Source: Alexandria
Functional: meta-GGA SCAN
Structure: single point on PBEsol structure

```
BaMg3Au
1.0
5.203 0.000 0.000
0.000 5.203 0.000
0.000 0.000 5.203
Ba Mg Au
1 3 1
Direct
0.000 0.000 0.000
0.000 0.500 0.500
0.500 0.000 0.500
0.500 0.500 0.000
0.500 0.500 0.500
```

## Properties
Space group: No. 221


Compound: BaMgAu2
Source: Alexandria
Functional: meta-GGA SCAN
Structure: single point on PBEsol structure

```
BaMgAu2
1.0
-2.213 2.213 5.086
2.213 -2.213 5.086
2.213 2.213 -5.086
Ba Mg Au
1 1 2
Direct
0.000 0.000 0.000
0.750 0.250 0.500
0.250 0.750 0.500
0.500 0.500 0.000
```

## Properties
Space group: No. 119


Compound: BaMg2Au2
Source: Alexandria
Functional: meta-GGA SCAN
Structure: single point on PBEsol structure

```
BaMg2Au2
1.0
-2.219 2.219 6.243
2.219 -2.219 6.243
2.219 2.219 -6.243
Ba Mg Au
1 2 2
Direct
0.000 0.000 0.000
0.250 0.750 0.500
0.750 0.250 0.500
0.383 0.383 0.000
0.617 0.617 0.000
```

## Properties
Space group: No. 139


Compound: BaMgAu2
Source: Alexandria
Functional: meta-GGA SCAN
Structure: single point on PBEsol structure

```
BaMgAu2
1.0
2.347 1.355 5.489
-2.347 1.355 5.489
0.000 -2.710 5.489
Ba Mg Au
1 1 2
Direct
0.000 0.000 0.000
0.500 0.500 0.500
0.202 0.202 0.202
0.798 0.798 0.798
```

## Properties
Space group: No. 166


Compound: BaMg2Au
Source: Alexandria
Functional: meta-GGA SCAN
Structure: single point on PBEsol structure

```
BaMg2Au
1.0
2.399 1.385 5.846
-2.399 1.385 5.846
0.000 -2.770 5.846
Ba Mg Au
1 2 1
Direct
0.000 0.000 0.000
0.196 0.196 0.196
0.474 0.474 0.474
0.811 0.811 0.811
```

## Properties
Space group: No. 160


Compound: BaMg2Au
Source: Alexandria
Functional: meta-GGA SCAN
Structure: single point on PBEsol structure

```
BaMg2Au
1.0
-1.755 2.845 5.471
1.755 -2.845 5.471
1.755 2.845 -5.471
Ba Mg Au
1 2 1
Direct
0.000 0.000 0.000
0.301 0.801 0.500
0.699 0.199 0.500
0.500 0.500 0.000
```

## Properties
Space group: No. 71


Compound: BaMg2Au
Source: Alexandria
Functional: meta-GGA SCAN
Structure: single point on PBEsol structure

```
BaMg2Au
1.0
0.000 3.667 3.667
3.667 0.000 3.667
3.667 3.667 0.000
Ba Mg Au
1 2 1
Direct
0.000 0.000 0.000
0.250 0.250 0.250
0.750 0.750 0.750
0.500 0.500 0.500
```

## Properties
Space group: No. 225


Number 1: spin magnetization 0.0 μB per cell, energy relative to the elements -710 meV per atom. Number 2: spin magnetization 0.0 μB per cell, energy relative to the elements -434 meV per atom. Number 3: spin magnetization 0.0 μB per cell, energy relative to the elements -393 meV per atom. Number 4: spin magnetization 0.0 μB per cell, energy relative to the elements -793 meV per atom. Number 5: spin magnetization 0.0 μB per cell, energy relative to the elements -826 meV per atom. Number 6: spin magnetization 0.1 μB per cell, energy relative to the elements -515 meV per atom. Number 7: spin magnetization 0.0 μB per cell, energy relative to the elements -360 meV per atom. Number 8: spin magnetization 0.0 μB per cell, energy relative to the elements -193 meV per atom.